Material: Y2Cu2Se
Method: DFT, PBE-GGA
State: optimized geometry

Structure (CIF):
```
data_Y2Cu2Se
_chemical_formula_sum 'Y4 Cu4 Se2'
_cell_length_a 7.415
_cell_length_b 7.415
_cell_length_c 3.811
_cell_angle_alpha 90.00
_cell_angle_beta 90.00
_cell_angle_gamma 90.00
_symmetry_space_group_name_H-M 'P 4/m b m'
_symmetry_Int_Tables_number 127
_symmetry_space_group_name_Hall '-P 4 2ab'
loop_
_atom_site_label
_atom_site_fract_x
_atom_site_fract_y
_atom_site_fract_z
_atom_site_occupancy
Y1 0.173 0.327 0.000 1
Cu1 0.117 0.617 0.500 1
Se1 0.000 0.000 0.500 1
```

Output
Total magnetic moment = 0.00 μB per formula unit
Formation energy from raw total energies = -2.6 eV/f.u.